(1)
An optimized crystal structure of Fe6CoNi. Source: Alexandria, functional PBE-GGA.

Output
As for the energy relative to the elements: -0.005 eV/atom. Its space-group type is No. 166.

Unit cell a=4.037 b=4.037 c=6.976 alpha=73.18 beta=73.18 gamma=60.00
Positions (direct):
1 Fe 0.626 0.626 0.122
2 Fe 0.124 0.124 0.628
3 Fe 0.876 0.876 0.372
4 Fe 0.374 0.374 0.878
5 Fe 0.249 0.249 0.252
6 Fe 0.751 0.751 0.748
7 Co 0.000 0.000 0.000
8 Ni 0.500 0.500 0.500

---

(2)
An optimized crystal structure of La6TeP2Se3. Source: Alexandria, functional PBE-GGA.

Output
The calculation puts the formation energy without anion corrections at -1.8336 eV/atom. Its space-group type is No. 12.

Unit cell a=4.326 b=8.757 c=9.712 alpha=102.71 beta=102.87 gamma=90.00
Positions (direct):
1 La 0.326 0.896 0.653
2 La 0.671 0.574 0.343
3 La 0.674 0.104 0.347
4 La 0.008 0.269 0.016
5 La 0.992 0.731 0.984
6 La 0.329 0.426 0.657
7 Te 0.500 0.000 0.000
8 P 0.832 0.665 0.664
9 P 0.168 0.335 0.336
10 Se 0.500 0.500 0.000
11 Se 0.838 0.166 0.675
12 Se 0.162 0.834 0.325

---

(3)
An optimized crystal structure of CsKNa2Br. Source: Alexandria, functional PBE-GGA.

Output
The calculation puts the formation energy without anion corrections at -0.4623 eV/atom. Its space-group type is No. 123.

Unit cell a=6.451 b=6.451 c=6.564 alpha=90.00 beta=90.00 gamma=90.00
Positions (direct):
1 Cs 0.500 0.500 0.500
2 Na 0.000 0.500 0.000
3 Na 0.500 0.000 0.000
4 K 0.000 0.000 0.500
5 Br 0.000 0.000 0.000

---

(4)
An optimized crystal structure of Mg2TaCu. Source: Alexandria, functional PBE-GGA.

Output
As for the energy relative to the elements: 0.093 eV/atom. Its space-group type is No. 99.

Unit cell a=2.962 b=2.962 c=8.131 alpha=90.00 beta=90.00 gamma=89.97
Positions (direct):
1 Cu 0.500 0.500 0.746
2 Mg 0.000 0.000 0.959
3 Mg 0.500 0.500 0.262
4 Ta 0.000 0.000 0.533

---

(5)
An optimized crystal structure of CaPt2Se. Source: Alexandria, functional PBE-GGA.

Output
The calculation puts the formation energy without anion corrections at -0.6234 eV/atom. Its space-group type is No. 10.

Unit cell a=4.147 b=3.976 c=5.387 alpha=89.83 beta=90.00 gamma=90.00
Positions (direct):
1 Ca 0.500 0.750 0.750
2 Se 0.500 0.250 0.250
3 Pt 0.000 0.249 0.990
4 Pt 0.000 0.251 0.510

---

(6)
An optimized crystal structure of TbPm6Dy3Er2. Source: Alexandria, functional PBE-GGA.

Output
As for the energy relative to the elements: 0.013 eV/atom. Its space-group type is No. 12.

Unit cell a=6.233 b=6.233 c=11.821 alpha=95.02 beta=95.02 gamma=119.99
Positions (direct):
1 Tb 0.000 0.000 0.000
2 Pm 0.917 0.583 0.750
3 Pm 0.750 0.750 0.250
4 Pm 0.083 0.417 0.250
5 Pm 0.583 0.917 0.750
6 Pm 0.250 0.250 0.750
7 Pm 0.417 0.083 0.250
8 Dy 0.167 0.833 0.500
9 Dy 0.833 0.167 0.500
10 Dy 0.500 0.500 0.500
11 Er 0.333 0.667 0.000
12 Er 0.667 0.333 0.000

---

(7)
An optimized crystal structure of ZnSbI3. Source: Alexandria, functional PBE-GGA.

Output
The calculation puts the formation energy without anion corrections at 0.1807 eV/atom. Its space-group type is No. 221.

Unit cell a=5.520 b=5.520 c=5.520 alpha=90.00 beta=90.00 gamma=90.00
Positions (direct):
1 I 0.000 0.500 0.000
2 I 0.000 0.000 0.500
3 I 0.500 0.000 0.000
4 Sb 0.500 0.500 0.500
5 Zn 0.000 0.000 0.000

---

(8)
An optimized crystal structure of CaNdBrN. Source: Alexandria, functional PBE-GGA.

Output
The calculation puts the formation energy without anion corrections at -1.3351 eV/atom. Its space-group type is No. 160.

Unit cell a=3.717 b=3.717 c=7.498 alpha=90.00 beta=104.35 gamma=120.00
Positions (direct):
1 Ca 0.091 0.943 0.049
2 Nd 0.516 0.156 0.687
3 Br 0.963 0.380 0.358
4 N 0.308 0.552 0.875

---

(9)
An optimized crystal structure of Re2SiTe. Source: Alexandria, functional PBE-GGA.

Output
The calculation puts the formation energy without anion corrections at 0.7208 eV/atom. Its space-group type is No. 65.

Unit cell a=2.930 b=2.930 c=8.685 alpha=90.00 beta=90.00 gamma=114.90
Positions (direct):
1 Re 0.000 0.000 0.041
2 Re 0.000 0.000 0.459
3 Si 0.500 0.500 0.250
4 Te 0.500 0.500 0.750

---

(10)
An optimized crystal structure of LiIn12Pb7. Source: Alexandria, functional PBE-GGA.

Output
As for the energy relative to the elements: 0.022 eV/atom. Its space-group type is No. 166.

Unit cell a=8.465 b=8.465 c=8.465 alpha=101.09 beta=101.09 gamma=101.09
Positions (direct):
1 Li 0.000 0.000 0.000
2 In 0.740 0.000 0.260
3 In 0.740 0.260 0.000
4 In 0.831 0.396 0.396
5 In 0.604 0.169 0.604
6 In 0.000 0.740 0.260
7 In 0.604 0.604 0.169
8 In 0.396 0.396 0.831
9 In 0.000 0.260 0.740
10 In 0.396 0.831 0.396
11 In 0.169 0.604 0.604
12 In 0.260 0.740 0.000
13 In 0.260 0.000 0.740
14 Pb 0.407 0.146 0.146
15 Pb 0.854 0.593 0.854
16 Pb 0.854 0.854 0.593
17 Pb 0.500 0.500 0.500
18 Pb 0.146 0.146 0.407
19 Pb 0.146 0.407 0.146
20 Pb 0.593 0.854 0.854

---

(11)
An optimized crystal structure of PrZrNb. Source: Alexandria, functional PBE-GGA.

Output
As for the energy relative to the elements: 0.087 eV/atom. Its space-group type is No. 129.

Unit cell a=3.410 b=3.410 c=13.067 alpha=90.00 beta=90.00 gamma=90.00
Positions (direct):
1 Pr 0.000 0.500 0.613
2 Pr 0.500 0.000 0.387
3 Zr 0.500 0.000 0.808
4 Zr 0.000 0.500 0.192
5 Nb 0.000 0.500 0.943
6 Nb 0.500 0.000 0.057

---

(12)
An optimized crystal structure of Ac2SmTe3. Source: Alexandria, functional PBE-GGA.

Output
The calculation puts the formation energy without anion corrections at -1.4365 eV/atom. Its space-group type is No. 71.

Unit cell a=4.636 b=6.577 c=8.033 alpha=114.16 beta=106.77 gamma=90.00
Positions (direct):
1 Ac 0.829 0.829 0.158
2 Ac 0.171 0.171 0.842
3 Sm 0.500 0.500 0.500
4 Te 0.844 0.344 0.188
5 Te 0.156 0.656 0.812
6 Te 0.500 0.000 0.500